Material: CsPr2CuSeS3
Method: DFT, GGA-PBE
State: relaxed

Distance to the lowest polymorph of the same formula   19 meV per atom

The structure in POSCAR format:
```
CsPr2CuSeS3
1.0
4.846 4.565 -3.689
-6.743 -0.840 3.430
5.886 3.865 12.517
Cs Cu Pr S Se
2 2 4 6 2
Direct
0.389 0.611 0.250
0.611 0.389 0.750
0.670 0.330 0.250
0.330 0.670 0.750
0.134 0.866 0.056
0.134 0.866 0.444
0.866 0.134 0.556
0.866 0.134 0.944
0.500 0.500 0.000
0.755 0.245 0.109
0.755 0.245 0.391
0.500 0.500 0.500
0.245 0.755 0.609
0.245 0.755 0.891
0.077 0.923 0.250
0.923 0.077 0.750
```


Material: CsPr2CuSeS3
Method: DFT, GGA-PBE
State: relaxed

Distance to the lowest polymorph of the same formula   0 meV per atom

The structure in POSCAR format:
```
CsPr2CuSeS3
1.0
-1.365 2.223 7.201
-2.412 -0.385 -7.259
-6.143 -12.538 2.707
Cs Cu Pr S Se
2 2 4 6 2
Direct
0.101 0.899 0.250
0.899 0.101 0.750
0.833 0.167 0.250
0.167 0.833 0.750
0.361 0.639 0.062
0.361 0.639 0.438
0.639 0.361 0.562
0.639 0.361 0.938
0.743 0.257 0.111
0.415 0.585 0.250
0.743 0.257 0.389
0.257 0.743 0.611
0.585 0.415 0.750
0.257 0.743 0.889
0.000 0.000 0.000
0.000 0.000 0.500
```


Material: CsPr2Cu3Te4S
Method: DFT, GGA-PBE
State: relaxed

E_tot   -0.1615 Ha/atom

The structure in POSCAR format:
```
CsPr2Cu3Te4S
1.0
2.186 -7.886 0.000
2.186 7.886 0.000
0.000 0.000 18.491
Cs Cu Pr S Te
2 6 4 2 8
Direct
0.431 0.569 0.250
0.569 0.431 0.750
0.916 0.084 0.021
0.169 0.831 0.250
0.916 0.084 0.479
0.084 0.916 0.521
0.831 0.169 0.750
0.084 0.916 0.979
0.696 0.304 0.099
0.696 0.304 0.401
0.304 0.696 0.599
0.304 0.696 0.901
0.726 0.274 0.250
0.274 0.726 0.750
0.341 0.659 0.070
0.053 0.947 0.119
0.053 0.947 0.381
0.341 0.659 0.430
0.659 0.341 0.570
0.947 0.053 0.619
0.947 0.053 0.881
0.659 0.341 0.930
```


Material: CsPrCuSe3
Method: DFT, GGA-PBE
State: relaxed

E_tot   -0.1643 Ha/atom

The structure in POSCAR format:
```
CsPrCuSe3
1.0
9.845 0.000 0.000
0.000 4.246 0.000
-3.485 0.000 9.530
Cs Cu Pr Se
2 2 2 6
Direct
0.789 0.750 0.254
0.211 0.250 0.746
0.085 0.250 0.107
0.915 0.750 0.893
0.326 0.750 0.356
0.674 0.250 0.644
0.171 0.750 0.038
0.530 0.250 0.335
0.114 0.250 0.355
0.886 0.750 0.645
0.470 0.750 0.665
0.829 0.250 0.962
```


Material: Cs2Pr4Cu4Se9
Method: DFT, GGA-PBE
State: relaxed

E_tot   -0.1766 Ha/atom

The structure in POSCAR format:
```
Cs2Pr4Cu4Se9
1.0
7.486 -2.128 0.000
7.486 2.128 0.000
-5.435 0.000 16.410
Cs Cu Pr Se
2 4 4 9
Direct
0.471 0.471 0.230
0.529 0.529 0.770
0.743 0.743 0.226
0.074 0.074 0.470
0.926 0.926 0.530
0.257 0.257 0.774
0.154 0.154 0.055
0.271 0.271 0.399
0.729 0.729 0.601
0.846 0.846 0.945
0.500 0.500 0.000
0.798 0.798 0.103
0.160 0.160 0.225
0.898 0.898 0.377
0.635 0.635 0.425
0.365 0.365 0.575
0.102 0.102 0.623
0.840 0.840 0.775
0.202 0.202 0.897
```


Material: CsPr2CuSe4
Method: DFT, GGA-PBE
State: relaxed

E_tot   -0.1843 Ha/atom

The structure in POSCAR format:
```
CsPr2CuSe4
1.0
-2.718 7.274 0.918
-0.246 -6.724 -3.985
-10.464 -5.071 9.202
Cs Cu Pr Se
2 2 4 8
Direct
0.893 0.107 0.250
0.107 0.893 0.750
0.163 0.837 0.250
0.837 0.163 0.750
0.634 0.366 0.061
0.634 0.366 0.439
0.366 0.634 0.561
0.366 0.634 0.939
0.000 0.000 0.000
0.259 0.741 0.112
0.577 0.423 0.250
0.259 0.741 0.388
0.000 0.000 0.500
0.741 0.259 0.612
0.423 0.577 0.750
0.741 0.259 0.888
```